[1]
# Ce2SmMg

Crystalline Ce2SmMg at its relaxed geometry (PBE-GGA, Alexandria).

- N(E_F): 2.644 states/eV per atom
- ΔH_f (0 K): 0.10 eV per atom
- E above lowest polymorph: 0.00 kJ/mol of atoms

a = 3.3299 Å, b = 3.3299 Å, c = 10.4216 Å
α = 90.00°, β = 90.00°, γ = 90.00°
With the nearest neighbours (Å) after each atom.
Space group P4/mmm (No. 123)
Asymmetric unit:
1 Ce 0.0000 0.0000 0.2398 [2 per cell]  4 Ce 3.33, 4 Mg 3.43, 4 Sm 3.59
2 Sm 0.5000 0.5000 0.5000 [1 per cell]  4 Sm 3.33, 8 Ce 3.59
3 Mg 0.5000 0.5000 0.0000 [1 per cell]  4 Mg 3.33, 8 Ce 3.43



[2]
# SrSbTe3

Crystalline SrSbTe3 at its relaxed geometry (PBE-GGA, Alexandria).

- N(E_F): 0.760 states/eV per atom
- E above lowest polymorph: 24.40 kJ/mol of atoms
- E_form (uncorrected): -0.37 eV per atom

a = 5.7749 Å, b = 5.7749 Å, c = 5.7749 Å
α = 90.00°, β = 90.00°, γ = 90.00°
With the nearest neighbours (Å) after each atom.
Space group Pm-3m (No. 221)
Asymmetric unit:
1 Sr 0.0000 0.0000 0.0000 [1 per cell]  12 Te 4.08
2 Sb 0.5000 0.5000 0.5000 [1 per cell]  6 Te 2.89
3 Te 0.0000 0.5000 0.5000 [3 per cell]  2 Sb 2.89



[3]
# Rb3Cu2BiBr9

Crystalline Rb3Cu2BiBr9 at its relaxed geometry (PBE-GGA, Alexandria).

- N(E_F): 0.385 states/eV per atom
- E_form (uncorrected): -0.98 eV per atom

a = 7.6614 Å, b = 7.6614 Å, c = 9.4881 Å
α = 90.00°, β = 90.00°, γ = 120.00°
With the nearest neighbours (Å) after each atom.
Space group P-3m1 (No. 164)
Asymmetric unit:
1 Rb 0.0000 0.0000 0.0000 [1 per cell]  12 Br 3.83
2 Rb 0.3333 0.6667 0.6863 [2 per cell]  12 Br 3.71-4.05
3 Cu 0.3333 0.6667 0.1405 [2 per cell]  6 Br 2.58-2.73
4 Bi 0.0000 0.0000 0.5000 [1 per cell]  6 Br 2.86
5 Br 0.0000 0.5000 0.0000 [3 per cell]  2 Cu 2.58
6 Br 0.1742 0.3483 0.3220 [6 per cell]  1 Cu 2.73, 1 Bi 2.86



[4]
# LuPu2Sn

Crystalline LuPu2Sn at its relaxed geometry (PBE-GGA, Alexandria).

- N(E_F): 3.262 states/eV per atom
- ΔH_f (0 K): -0.04 eV per atom
- E above lowest polymorph: 24.41 kJ/mol of atoms

a = 7.5493 Å, b = 7.5493 Å, c = 7.5493 Å
α = 90.00°, β = 90.00°, γ = 90.00°
With the nearest neighbours (Å) after each atom.
Space group Fm-3m (No. 225)
Asymmetric unit:
1 Lu 0.0000 0.0000 0.0000 [4 per cell]  8 Pu 3.27
2 Pu 0.2500 0.2500 0.2500 [8 per cell]  4 Sn 3.27, 4 Lu 3.27
3 Sn 0.0000 0.0000 0.5000 [4 per cell]  8 Pu 3.27



no.,raw total energy (eV/atom)
1,-4.445
2,-3.412
3,-2.982
4,-9.342